! ZnNi2Bi, optimized geometry, DFT PBE; values from VASP
&SYSTEM
  ibrav = 0, nat = 16, ntyp = 3
/
ATOMIC_SPECIES
Zn 65.41 Zn.upf
Ni 58.69 Ni.upf
Bi 208.98 Bi.upf
CELL_PARAMETERS angstrom
6.278 0.000 0.000
0.000 6.278 0.000
0.000 0.000 6.278
ATOMIC_POSITIONS angstrom
Zn 0.000 0.000 0.000
Zn 0.000 3.139 3.139
Zn 3.139 0.000 3.139
Zn 3.139 3.139 0.000
Ni 1.570 1.570 1.570
Ni 1.570 1.570 4.709
Ni 1.570 4.709 1.570
Ni 1.570 4.709 4.709
Ni 4.709 1.570 1.570
Ni 4.709 1.570 4.709
Ni 4.709 4.709 1.570
Ni 4.709 4.709 4.709
Bi 0.000 0.000 3.139
Bi 0.000 3.139 0.000
Bi 3.139 0.000 0.000
Bi 3.139 3.139 3.139
! Energy relative to the elements: 107 meV/atom
! Relative energy among the computed polymorphs: 0 meV/atom
! Energy: -16.29 eV/f.u.
! Theoretical density: 10.516 g cm⁻³